# 1
This record from Alexandria via LeMat-Bulk describes a relaxed structure of K6InHg2. The functional is PBE.

Values from the calculation:
**DFT formation energy**: -1.0 eV per formula unit
**N(E_F)**: 0.78 states/eV per atom
**Size of the total moment**: 0.0 μB per cell
**V**: 45.50 Å³/atom

Cell lengths 5.816, 6.792, 12.056 Å; angles 106.16, 90.00, 115.35 degrees
Fractional positions:
K: 0.825 0.649 0.441
K: 0.175 0.351 0.559
K: 0.465 0.930 0.259
K: 0.295 0.590 0.912
K: 0.705 0.410 0.088
K: 0.535 0.070 0.741
Hg: 0.851 0.701 0.752
Hg: 0.149 0.299 0.248
In: 0.000 0.000 0.000


# 2
This record from Alexandria via LeMat-Bulk describes a relaxed structure of K2InHg2. The functional is PBE.

Values from the calculation:
**DFT formation energy**: -0.8 eV per formula unit
**N(E_F)**: 0.62 states/eV per atom
**Distance to the lowest polymorph of the same formula**: 5.1 kJ per mole of atoms
**Size of the total moment**: 0.0 μB per cell
**V**: 34.95 Å³/atom

Cell lengths 8.017, 8.017, 5.439 Å; angles 90.00, 90.00, 90.00 degrees
Fractional positions:
Hg: 0.636 0.136 0.000
Hg: 0.136 0.364 0.000
Hg: 0.364 0.864 0.000
Hg: 0.864 0.636 0.000
In: 0.500 0.500 0.000
In: 0.000 0.000 0.000
K: 0.675 0.825 0.500
K: 0.325 0.175 0.500
K: 0.175 0.675 0.500
K: 0.825 0.325 0.500


# 3
This record from Alexandria via LeMat-Bulk describes a relaxed structure of KInHg. The functional is PBE.

Values from the calculation:
**DFT formation energy**: -0.4 eV per formula unit
**N(E_F)**: 0.51 states/eV per atom
**Distance to the lowest polymorph of the same formula**: 5.0 kJ per mole of atoms
**Size of the total moment**: 0.0 μB per cell
**V**: 32.67 Å³/atom

Cell lengths 5.237, 5.237, 8.248 Å; angles 90.06, 90.07, 60.05 degrees
Fractional positions:
K: 0.333 0.833 0.628
K: 0.667 0.167 0.372
In: 0.667 0.167 0.921
In: 0.333 0.833 0.079
Hg: 0.000 0.500 0.201
Hg: 0.000 0.500 0.799


# 4
This record from Alexandria via LeMat-Bulk describes a relaxed structure of K3In3Hg8. The functional is PBE.

Values from the calculation:
**DFT formation energy**: -2.7 eV per formula unit
**N(E_F)**: 0.41 states/eV per atom
**Size of the total moment**: 0.0 μB per cell
**V**: 30.26 Å³/atom

Cell lengths 5.331, 9.664, 9.664 Å; angles 64.16, 73.99, 73.99 degrees
Fractional positions:
Hg: 0.840 0.806 0.513
Hg: 0.160 0.194 0.487
Hg: 0.356 0.349 0.938
Hg: 0.644 0.062 0.651
Hg: 0.356 0.938 0.349
Hg: 0.840 0.513 0.806
Hg: 0.160 0.487 0.194
Hg: 0.644 0.651 0.062
In: 0.000 0.824 0.176
In: 0.500 0.000 0.000
In: 0.000 0.176 0.824
K: 0.215 0.785 0.785
K: 0.785 0.215 0.215
K: 0.500 0.500 0.500


# 5
This record from Alexandria via LeMat-Bulk describes a relaxed structure of KIn2Hg. The functional is PBE.

Values from the calculation:
**DFT formation energy**: -0.3 eV per formula unit
**N(E_F)**: 0.62 states/eV per atom
**Size of the total moment**: 0.0 μB per cell
**V**: 29.14 Å³/atom

Cell lengths 5.492, 5.492, 5.492 Å; angles 120.31, 120.31, 89.46 degrees
Fractional positions:
In: 0.250 0.750 0.500
In: 0.000 0.000 0.000
K: 0.500 0.500 0.000
Hg: 0.750 0.250 0.500


# 6
This record from Alexandria via LeMat-Bulk describes a relaxed structure of K2InHg. The functional is PBE.

Values from the calculation:
**DFT formation energy**: -0.6 eV per formula unit
**N(E_F)**: 0.67 states/eV per atom
**Distance to the lowest polymorph of the same formula**: 0.1 kJ per mole of atoms
**Size of the total moment**: 0.0 μB per cell
**V**: 37.72 Å³/atom

Cell lengths 6.574, 6.837, 6.837 Å; angles 100.96, 90.00, 90.00 degrees
Fractional positions:
In: 0.500 0.500 0.500
In: 0.000 0.500 0.500
Hg: 0.750 0.200 0.200
Hg: 0.250 0.800 0.800
K: 0.750 0.028 0.670
K: 0.750 0.670 0.028
K: 0.250 0.972 0.330
K: 0.250 0.330 0.972


# 7
This record from Alexandria via LeMat-Bulk describes a relaxed structure of K3InHg8. The functional is PBE.

Values from the calculation:
**DFT formation energy**: -1.9 eV per formula unit
**N(E_F)**: 0.52 states/eV per atom
**Size of the total moment**: 0.0 μB per cell
**V**: 30.31 Å³/atom

Cell lengths 6.281, 6.281, 11.246 Å; angles 73.78, 73.78, 60.00 degrees
Fractional positions:
Hg: 0.938 0.437 0.187
Hg: 0.437 0.437 0.187
Hg: 0.938 0.938 0.686
Hg: 0.688 0.688 0.937
Hg: 0.438 0.938 0.686
Hg: 0.437 0.938 0.187
Hg: 0.938 0.438 0.686
Hg: 0.188 0.188 0.437
K: 0.505 0.505 0.486
K: 0.376 0.376 0.873
K: 0.994 0.994 0.017
In: 0.873 0.873 0.380


# 8
This record from Alexandria via LeMat-Bulk describes a relaxed structure of KIn2Hg. The functional is PBE.

Values from the calculation:
**DFT formation energy**: -0.1 eV per formula unit
**N(E_F)**: 0.58 states/eV per atom
**Size of the total moment**: 0.0 μB per cell
**V**: 30.12 Å³/atom

Cell lengths 4.539, 4.928, 5.387 Å; angles 90.00, 90.00, 90.00 degrees
Fractional positions:
In: 0.500 0.500 0.000
In: 0.000 0.000 0.000
K: 0.500 0.000 0.500
Hg: 0.000 0.500 0.500


# 9
This record from Alexandria via LeMat-Bulk describes a relaxed structure of K2In7Hg12. The functional is PBE.

Values from the calculation:
**DFT formation energy**: -1.6 eV per formula unit
**N(E_F)**: 0.29 states/eV per atom
**Size of the total moment**: 0.0 μB per cell
**V**: 29.04 Å³/atom

Cell lengths 5.364, 11.457, 11.457 Å; angles 120.00, 90.00, 90.00 degrees
Fractional positions:
In: 0.500 0.000 0.000
In: 0.325 0.376 0.119
In: 0.675 0.624 0.881
In: 0.675 0.119 0.744
In: 0.325 0.744 0.624
In: 0.325 0.881 0.256
In: 0.675 0.256 0.376
Hg: 0.177 0.119 0.863
Hg: 0.823 0.863 0.743
Hg: 0.177 0.743 0.881
Hg: 0.823 0.881 0.137
Hg: 0.232 0.462 0.409
Hg: 0.768 0.053 0.462
Hg: 0.768 0.538 0.591
Hg: 0.177 0.137 0.257
Hg: 0.823 0.257 0.119
Hg: 0.768 0.409 0.947
Hg: 0.232 0.591 0.053
Hg: 0.232 0.947 0.538
K: 0.214 0.333 0.667
K: 0.786 0.667 0.333


# 10
This record from Alexandria via LeMat-Bulk describes a relaxed structure of K2In3Hg6. The functional is PBE.

Values from the calculation:
**DFT formation energy**: -1.1 eV per formula unit
**N(E_F)**: 0.44 states/eV per atom
**Size of the total moment**: 0.0 μB per cell
**V**: 32.54 Å³/atom

Cell lengths 4.571, 8.904, 8.904 Å; angles 99.02, 90.00, 90.00 degrees
Fractional positions:
Hg: 0.500 0.656 0.980
Hg: 0.500 0.020 0.344
Hg: 0.500 0.624 0.624
Hg: 0.500 0.980 0.656
Hg: 0.500 0.344 0.020
Hg: 0.500 0.376 0.376
In: 0.000 0.191 0.191
In: 0.500 0.000 0.000
In: 0.000 0.809 0.809
K: 0.000 0.302 0.698
K: 0.000 0.698 0.302


# 11
This record from Alexandria via LeMat-Bulk describes a relaxed structure of KIn2Hg9. The functional is PBE.

Values from the calculation:
**DFT formation energy**: -0.9 eV per formula unit
**N(E_F)**: 0.30 states/eV per atom
**Distance to the lowest polymorph of the same formula**: 1.1 kJ per mole of atoms
**Size of the total moment**: 0.0 μB per cell
**V**: 27.88 Å³/atom

Cell lengths 3.444, 10.591, 10.591 Å; angles 120.00, 90.00, 90.00 degrees
Fractional positions:
In: 0.000 0.333 0.667
In: 0.000 0.667 0.333
K: 0.000 0.000 0.000
Hg: 0.000 0.000 0.500
Hg: 0.500 0.174 0.826
Hg: 0.500 0.174 0.348
Hg: 0.500 0.826 0.174
Hg: 0.000 0.500 0.500
Hg: 0.500 0.348 0.174
Hg: 0.000 0.500 0.000
Hg: 0.500 0.652 0.826
Hg: 0.500 0.826 0.652


# 12
This record from Alexandria via LeMat-Bulk describes a relaxed structure of K12In3Hg5. The functional is PBE.

Values from the calculation:
**DFT formation energy**: 0.5 eV per formula unit
**N(E_F)**: 0.67 states/eV per atom
**Size of the total moment**: 0.0 μB per cell
**V**: 55.15 Å³/atom

Cell lengths 17.895, 17.895, 17.895 Å; angles 109.47, 109.47, 109.47 degrees
Fractional positions:
Hg: 0.000 0.500 0.000
Hg: 0.875 0.250 0.625
Hg: 0.125 0.750 0.375
Hg: 0.000 0.000 0.500
Hg: 0.000 0.000 0.000
Hg: 0.500 0.500 0.000
Hg: 0.500 0.000 0.500
Hg: 0.250 0.375 0.625
Hg: 0.750 0.125 0.875
Hg: 0.000 0.500 0.500
Hg: 0.250 0.875 0.125
Hg: 0.750 0.625 0.375
Hg: 0.875 0.625 0.750
Hg: 0.500 0.500 0.500
Hg: 0.375 0.125 0.750
Hg: 0.125 0.375 0.250
Hg: 0.500 0.000 0.000
Hg: 0.625 0.750 0.875
Hg: 0.625 0.875 0.250
Hg: 0.375 0.250 0.125
K: 0.055 0.422 0.829
K: 0.906 0.078 0.633
K: 0.867 0.594 0.922
K: 0.829 0.922 0.055
K: 0.329 0.555 0.422
K: 0.671 0.226 0.594
K: 0.094 0.171 0.226
K: 0.671 0.445 0.578
K: 0.829 0.906 0.274
K: 0.578 0.945 0.671
K: 0.594 0.726 0.671
K: 0.594 0.867 0.422
K: 0.774 0.329 0.906
K: 0.133 0.406 0.078
K: 0.445 0.774 0.867
K: 0.555 0.329 0.922
K: 0.406 0.133 0.578
K: 0.367 0.945 0.774
K: 0.422 0.055 0.329
K: 0.922 0.829 0.555
K: 0.094 0.922 0.367
K: 0.945 0.578 0.171
K: 0.633 0.055 0.226
K: 0.422 0.367 0.594
K: 0.078 0.171 0.445
K: 0.367 0.422 0.094
K: 0.078 0.906 0.133
K: 0.922 0.094 0.867
K: 0.406 0.274 0.329
K: 0.867 0.274 0.445
K: 0.555 0.226 0.133
K: 0.226 0.555 0.633
K: 0.171 0.094 0.726
K: 0.274 0.867 0.945
K: 0.906 0.829 0.774
K: 0.578 0.633 0.406
K: 0.774 0.445 0.367
K: 0.274 0.406 0.829
K: 0.726 0.133 0.055
K: 0.133 0.726 0.555
K: 0.171 0.078 0.945
K: 0.329 0.774 0.406
K: 0.445 0.671 0.078
K: 0.945 0.367 0.274
K: 0.633 0.578 0.906
K: 0.055 0.633 0.726
K: 0.226 0.671 0.094
K: 0.726 0.594 0.171
In: 0.875 0.125 0.250
In: 0.625 0.375 0.750
In: 0.250 0.125 0.375
In: 0.750 0.875 0.625
In: 0.750 0.375 0.125
In: 0.375 0.750 0.625
In: 0.250 0.625 0.875
In: 0.375 0.625 0.250
In: 0.125 0.875 0.750
In: 0.625 0.250 0.375
In: 0.875 0.750 0.125
In: 0.125 0.250 0.875


# 13
This record from Alexandria via LeMat-Bulk describes a relaxed structure of KIn2Hg2. The functional is PBE.

Values from the calculation:
**DFT formation energy**: -0.7 eV per formula unit
**N(E_F)**: 0.56 states/eV per atom
**Distance to the lowest polymorph of the same formula**: 1.9 kJ per mole of atoms
**Size of the total moment**: 0.0 μB per cell
**V**: 31.87 Å³/atom

Cell lengths 5.472, 5.472, 6.579 Å; angles 65.42, 65.42, 90.00 degrees
Fractional positions:
In: 0.362 0.362 0.276
In: 0.638 0.638 0.724
K: 0.000 0.000 0.000
Hg: 0.250 0.750 0.500
Hg: 0.750 0.250 0.500


# 14
This record from Alexandria via LeMat-Bulk describes a relaxed structure of KInHg2. The functional is PBE.

Values from the calculation:
**DFT formation energy**: -0.6 eV per formula unit
**N(E_F)**: 0.42 states/eV per atom
**Size of the total moment**: 0.0 μB per cell
**V**: 32.55 Å³/atom

Cell lengths 5.186, 5.186, 6.340 Å; angles 65.86, 65.86, 60.00 degrees
Fractional positions:
Hg: 0.216 0.216 0.352
Hg: 0.784 0.784 0.648
K: 0.000 0.000 0.000
In: 0.500 0.500 0.500


# 15
This record from Alexandria via LeMat-Bulk describes a relaxed structure of K12InHg7. The functional is PBE.

Values from the calculation:
**DFT formation energy**: -3.2 eV per formula unit
**N(E_F)**: 0.54 states/eV per atom
**Size of the total moment**: 0.0 μB per cell
**V**: 48.71 Å³/atom

Cell lengths 10.992, 10.992, 10.992 Å; angles 110.67, 110.67, 110.67 degrees
Fractional positions:
K: 0.593 0.890 0.681
K: 0.681 0.593 0.890
K: 0.889 0.348 0.736
K: 0.652 0.264 0.111
K: 0.110 0.319 0.407
K: 0.111 0.652 0.264
K: 0.890 0.681 0.593
K: 0.736 0.889 0.348
K: 0.319 0.407 0.110
K: 0.348 0.736 0.889
K: 0.264 0.111 0.652
K: 0.407 0.110 0.319
In: 0.000 0.000 0.000
Hg: 0.246 0.013 0.917
Hg: 0.754 0.987 0.083
Hg: 0.013 0.917 0.246
Hg: 0.987 0.083 0.754
Hg: 0.917 0.246 0.013
Hg: 0.083 0.754 0.987
Hg: 0.500 0.500 0.500


# 16
This record from Alexandria via LeMat-Bulk describes a relaxed structure of KIn4Hg5. The functional is PBE.

Values from the calculation:
**DFT formation energy**: -0.7 eV per formula unit
**N(E_F)**: 0.40 states/eV per atom
**Size of the total moment**: 0.0 μB per cell
**V**: 27.89 Å³/atom

Cell lengths 3.929, 3.929, 18.077 Å; angles 91.59, 91.59, 89.80 degrees
Fractional positions:
In: 0.012 0.012 0.408
In: 0.020 0.020 0.221
In: 0.988 0.988 0.592
In: 0.980 0.980 0.779
Hg: 0.518 0.518 0.309
Hg: 0.484 0.484 0.877
Hg: 0.516 0.516 0.123
Hg: 0.482 0.482 0.691
Hg: 0.500 0.500 0.500
K: 0.000 0.000 0.000


# 17
This record from Alexandria via LeMat-Bulk describes a relaxed structure of K5In2Hg5. The functional is PBE.

Values from the calculation:
**DFT formation energy**: -2.2 eV per formula unit
**N(E_F)**: 0.57 states/eV per atom
**Size of the total moment**: 0.0 μB per cell
**V**: 35.15 Å³/atom

Cell lengths 5.536, 9.331, 9.344 Å; angles 99.98, 72.77, 72.74 degrees
Fractional positions:
Hg: 0.708 0.290 0.293
Hg: 0.001 0.754 0.244
Hg: 0.999 0.246 0.756
Hg: 0.292 0.710 0.707
Hg: 0.000 0.000 0.000
K: 0.000 0.500 0.500
K: 0.311 0.042 0.335
K: 0.689 0.958 0.665
K: 0.689 0.666 0.956
K: 0.311 0.334 0.044
In: 0.498 0.352 0.651
In: 0.502 0.648 0.349


# 18
This record from Alexandria via LeMat-Bulk describes a relaxed structure of KIn5Hg7. The functional is PBE.

Values from the calculation:
**DFT formation energy**: -0.5 eV per formula unit
**N(E_F)**: 0.41 states/eV per atom
**Size of the total moment**: 0.0 μB per cell
**V**: 28.28 Å³/atom

Cell lengths 6.318, 8.256, 8.256 Å; angles 82.01, 67.50, 67.50 degrees
Fractional positions:
In: 0.503 0.489 0.006
In: 0.002 0.006 0.489
In: 0.503 0.006 0.489
In: 0.002 0.489 0.006
In: 0.751 0.749 0.749
Hg: 0.282 0.218 0.218
Hg: 0.004 0.340 0.651
Hg: 0.613 0.387 0.387
Hg: 0.508 0.182 0.802
Hg: 0.326 0.674 0.674
Hg: 0.508 0.802 0.182
Hg: 0.004 0.651 0.340
K: 0.992 0.008 0.008


# 19
This record from Alexandria via LeMat-Bulk describes a relaxed structure of K2InHg. The functional is PBE.

Values from the calculation:
**DFT formation energy**: 0.0 eV per formula unit
**N(E_F)**: 0.83 states/eV per atom
**Distance to the lowest polymorph of the same formula**: 15.7 kJ per mole of atoms
**Size of the total moment**: 0.0 μB per cell
**V**: 38.97 Å³/atom

Cell lengths 3.969, 3.969, 11.651 Å; angles 80.19, 80.19, 60.00 degrees
Fractional positions:
In: 0.500 0.500 0.500
K: 0.081 0.081 0.756
K: 0.252 0.252 0.244
Hg: 0.667 0.667 0.000